Record 1
Density functional theory data (PBE) for an optimized crystal structure of LiTmSO.

POSCAR file:
```
LiTmSO
1.0
3.776 0.000 0.000
0.000 3.776 0.000
0.000 0.000 8.469
Li Tm S O
2 2 2 2
direct
0.250 0.750 0.000
0.750 0.250 0.000
0.250 0.250 0.370
0.750 0.750 0.630
0.250 0.250 0.824
0.750 0.750 0.176
0.250 0.750 0.500
0.750 0.250 0.500
```

Results
- M_tot (μB per formula unit) = 0.00
- excess energy over the best structure of this formula in the dataset (meV per atom) = 0.0
- space-group type = P4/nmm

---

Record 2
Density functional theory data (PBE) for an optimized crystal structure of Nb3PN2.

POSCAR file:
```
Nb3PN2
1.0
3.205 0.000 0.000
-1.602 2.775 0.000
0.000 0.000 16.945
Nb P N
6 2 4
direct
0.000 0.000 0.000
0.000 0.000 0.500
0.333 0.667 0.147
0.333 0.667 0.353
0.667 0.333 0.647
0.667 0.333 0.853
0.000 0.000 0.250
0.000 0.000 0.750
0.333 0.667 0.573
0.333 0.667 0.927
0.667 0.333 0.073
0.667 0.333 0.427
```

Results
- M_tot (μB per formula unit) = 0.00
- space-group type = P6_3/mmc
- E (eV per atom) = -9.5611

---

Record 3
Density functional theory data (PBE) for an optimized crystal structure of Er5Lu3Se.

POSCAR file:
```
Er5Lu3Se
1.0
8.957 0.000 0.000
-4.479 7.757 0.000
0.000 0.000 3.692
Er Lu Se
5 3 1
direct
0.000 0.259 0.000
0.259 0.000 0.000
0.333 0.667 0.000
0.667 0.333 0.000
0.741 0.741 0.000
0.000 0.606 0.500
0.394 0.394 0.500
0.606 0.000 0.500
0.000 0.000 0.500
```

Results
- M_tot (μB per formula unit) = 0.02
- space-group type = P-62m
- E (eV per atom) = -4.7833

---

Record 4
Density functional theory data (PBE) for an optimized crystal structure of NaTmOs.

POSCAR file:
```
NaTmOs
1.0
0.000 3.287 3.287
3.287 0.000 3.287
3.287 3.287 0.000
Na Tm Os
1 1 1
direct
0.000 0.000 0.000
0.250 0.250 0.250
0.500 0.500 0.500
```

Results
- M_tot (μB per formula unit) = 0.09
- excess energy over the best structure of this formula in the dataset (meV per atom) = 299.1
- space-group type = F-43m